A plane-wave DFT calculation with SCAN was carried out for a PBEsol-optimized structure of Al4Sb3.

## Properties
Crystal system: hexagonal
Excess energy over the best structure of this formula in the dataset: 1.79 eV per formula unit

a = 4.978 Å, b = 6.228 Å, c = 6.228 Å
α = 120.00°, β = 90.00°, γ = 90.00°
Fractional positions:
Sb 0.000 0.000 0.500
Sb 0.000 0.500 0.000
Sb 0.000 0.500 0.500
Al 0.752 0.000 0.000
Al 0.248 0.000 0.000
Al 0.500 0.333 0.667
Al 0.500 0.667 0.333

A plane-wave DFT calculation with SCAN was carried out for a PBEsol-optimized structure of Nd3Ni3Bi4.

## Properties
Crystal system: cubic
Energy of formation: -0.677 eV/atom

a = 8.408 Å, b = 8.408 Å, c = 8.408 Å
α = 109.47°, β = 109.47°, γ = 109.47°
Fractional positions:
Nd 0.875 0.125 0.750
Nd 0.625 0.375 0.250
Nd 0.125 0.250 0.375
Nd 0.375 0.750 0.125
Nd 0.750 0.625 0.875
Nd 0.250 0.875 0.625
Ni 0.375 0.625 0.750
Ni 0.125 0.875 0.250
Ni 0.625 0.250 0.875
Ni 0.875 0.750 0.625
Ni 0.750 0.125 0.375
Ni 0.250 0.375 0.125
Bi 0.654 0.000 0.000
Bi 0.846 0.846 0.346
Bi 0.000 0.500 0.154
Bi 0.154 0.000 0.000
Bi 0.500 0.654 0.500
Bi 0.346 0.346 0.846
Bi 0.500 0.154 0.500
Bi 0.000 0.500 0.654

A plane-wave DFT calculation with SCAN was carried out for a PBEsol-optimized structure of USi2Ir2.

## Properties
E_tot: -269.8 eV per cell
Crystal system: tetragonal

a = 3.985 Å, b = 3.985 Å, c = 5.738 Å
α = 110.32°, β = 110.32°, γ = 90.00°
Fractional positions:
Si 0.384 0.384 0.768
Si 0.616 0.616 0.232
Ir 0.250 0.750 0.500
Ir 0.750 0.250 0.500
U 0.000 0.000 0.000

A plane-wave DFT calculation with SCAN was carried out for a PBEsol-optimized structure of Li2ZnTcBi.

## Properties
Crystal system: tetragonal
Energy of formation: 0.817 eV/atom

a = 4.973 Å, b = 4.973 Å, c = 5.213 Å
α = 90.00°, β = 90.00°, γ = 90.00°
Fractional positions:
Zn 0.500 0.500 0.500
Li 0.000 0.500 0.000
Li 0.500 0.000 0.000
Bi 0.000 0.000 0.000
Tc 0.000 0.000 0.500

A plane-wave DFT calculation with SCAN was carried out for a PBEsol-optimized structure of ReSe3.

## Properties
Crystal system: tetragonal
Excess energy over the best structure of this formula in the dataset: 0.05 eV per formula unit

a = 2.939 Å, b = 2.939 Å, c = 8.918 Å
α = 90.00°, β = 90.00°, γ = 90.00°
Fractional positions:
Re 0.000 0.000 0.000
Se 0.500 0.500 0.178
Se 0.000 0.000 0.500
Se 0.500 0.500 0.822

A plane-wave DFT calculation with SCAN was carried out for a PBEsol-optimized structure of Zr2BHSe.

## Properties
E_tot: -93.3 eV per cell
Crystal system: tetragonal

a = 3.266 Å, b = 4.696 Å, c = 4.696 Å
α = 90.00°, β = 90.00°, γ = 90.00°
Fractional positions:
H 0.500 0.000 0.000
B 0.000 0.000 0.000
Se 0.500 0.500 0.500
Zr 0.000 0.000 0.500
Zr 0.000 0.500 0.000

- Which formula does entry 1 have?
  Al4Sb3